{"formula": "TlMoW", "functional": "SCAN", "state": "single point on PBEsol structure", "vol_a3_per_atom": 18.0, "delta_e_f_ev_per_atom": 0.628, "density_g_cm3": 14.85, "magnetic_moment_mub_per_atom": 0.00, "lattice": [[2.910, 0.013, 0.000], [-1.182, 2.660, 0.000], [-0.864, -1.336, 6.979]], "species": ["Mo", "Tl", "W"], "frac_coords": [[0.988, 0.988, 0.976], [0.666, 0.666, 0.332], [0.346, 0.346, 0.692]]}

{"formula": "TlMo2W", "functional": "SCAN", "state": "single point on PBEsol structure", "relative_energy_kj_per_mol_fu": 7, "vol_a3_per_atom": 16.7, "delta_e_f_ev_per_atom": 0.580, "density_g_cm3": 14.40, "magnetic_moment_mub_per_atom": 0.00, "lattice": [[-0.757, 0.149, -3.184], [-2.606, -3.641, 0.449], [-1.867, 4.404, 2.334]], "species": ["Mo", "Mo", "Tl", "W"], "frac_coords": [[0.998, 0.498, 0.996], [0.734, 0.734, 0.469], [0.501, 0.001, 0.002], [0.267, 0.267, 0.534]]}

{"formula": "TlMo2W", "functional": "SCAN", "state": "single point on PBEsol structure", "relative_energy_kj_per_mol_fu": 0, "vol_a3_per_atom": 17.0, "delta_e_f_ev_per_atom": 0.563, "density_g_cm3": 14.18, "magnetic_moment_mub_per_atom": 0.00, "lattice": [[3.350, 0.000, 0.000], [0.000, 3.350, 0.000], [0.000, 0.000, 6.052]], "species": ["Mo", "Mo", "Tl", "W"], "frac_coords": [[0.000, 0.000, 0.000], [0.500, 0.500, 0.218], [0.000, 0.000, 0.498], [0.500, 0.500, 0.785]]}

{"formula": "YTl2Mo", "functional": "SCAN", "state": "single point on PBEsol structure", "relative_energy_kj_per_mol_fu": 23, "vol_a3_per_atom": 21.4, "delta_e_f_ev_per_atom": 0.299, "density_g_cm3": 11.50, "magnetic_moment_mub_per_atom": 0.15, "lattice": [[-1.281, -2.998, 0.478], [1.024, -1.230, -4.964], [4.191, -1.344, 2.799]], "species": ["Mo", "Tl", "Tl", "Y"], "frac_coords": [[0.500, 0.000, 0.000], [0.000, 0.500, 0.000], [0.000, 0.000, 0.500], [0.500, 0.500, 0.500]]}

{"formula": "Y2TlMo", "functional": "SCAN", "state": "single point on PBEsol structure", "vol_a3_per_atom": 23.3, "delta_e_f_ev_per_atom": 0.354, "density_g_cm3": 8.53, "magnetic_moment_mub_per_atom": 0.00, "lattice": [[-0.409, 2.416, 2.085], [-5.297, -0.136, -0.880], [1.753, -3.494, 4.392]], "species": ["Mo", "Tl", "Y", "Y"], "frac_coords": [[0.500, 0.500, 0.000], [0.000, 0.500, 0.500], [0.000, 0.000, 0.000], [0.500, 0.000, 0.500]]}

{"formula": "YTl2Mo", "functional": "SCAN", "state": "single point on PBEsol structure", "relative_energy_kj_per_mol_fu": 0, "vol_a3_per_atom": 21.6, "delta_e_f_ev_per_atom": 0.240, "density_g_cm3": 11.43, "magnetic_moment_mub_per_atom": 0.44, "lattice": [[-2.718, 1.779, -0.418], [-0.308, -1.185, -3.038], [-4.422, -6.092, 2.826]], "species": ["Mo", "Tl", "Tl", "Y"], "frac_coords": [[0.500, 0.500, 0.500], [0.000, 0.000, 0.724], [0.000, 0.000, 0.276], [0.500, 0.500, 0.000]]}

{"formula": "TlZnMo3", "functional": "SCAN", "state": "single point on PBEsol structure", "vol_a3_per_atom": 23.6, "delta_e_f_ev_per_atom": 2.835, "density_g_cm3": 7.85, "magnetic_moment_mub_per_atom": 0.00, "lattice": [[-0.557, -1.030, 4.762], [4.776, -1.066, 0.327], [0.967, 4.675, 1.124]], "species": ["Zn", "Tl", "Mo", "Mo", "Mo"], "frac_coords": [[0.500, 0.500, 0.500], [0.000, 0.000, 0.000], [0.000, 0.500, 0.000], [0.000, 0.000, 0.500], [0.500, 0.000, 0.000]]}

{"formula": "Zr2TlZnMo", "functional": "SCAN", "state": "single point on PBEsol structure", "vol_a3_per_atom": 24.9, "delta_e_f_ev_per_atom": 1.462, "density_g_cm3": 7.32, "magnetic_moment_mub_per_atom": 0.00, "lattice": [[4.532, 0.000, 0.000], [0.000, 5.239, 0.000], [0.000, 0.000, 5.239]], "species": ["Zn", "Tl", "Mo", "Zr", "Zr"], "frac_coords": [[0.500, 0.000, 0.000], [0.000, 0.000, 0.000], [0.500, 0.500, 0.500], [0.000, 0.000, 0.500], [0.000, 0.500, 0.000]]}

{"formula": "Zr2TlMo", "functional": "SCAN", "state": "single point on PBEsol structure", "relative_energy_kj_per_mol_fu": 0, "vol_a3_per_atom": 20.0, "delta_e_f_ev_per_atom": -0.221, "density_g_cm3": 10.03, "magnetic_moment_mub_per_atom": 0.00, "lattice": [[3.450, 0.000, 0.000], [0.000, 3.450, 0.000], [0.000, 0.000, 6.712]], "species": ["Tl", "Mo", "Zr", "Zr"], "frac_coords": [[0.500, 0.500, 0.500], [0.500, 0.500, 0.000], [0.000, 0.000, 0.776], [0.000, 0.000, 0.224]]}

{"formula": "Zr2TlMo", "functional": "SCAN", "state": "single point on PBEsol structure", "relative_energy_kj_per_mol_fu": 69, "vol_a3_per_atom": 20.4, "delta_e_f_ev_per_atom": -0.042, "density_g_cm3": 9.84, "magnetic_moment_mub_per_atom": 0.00, "lattice": [[3.078, 0.039, 0.000], [-1.118, 2.868, 0.000], [0.000, 0.000, 9.183]], "species": ["Mo", "Tl", "Zr", "Zr"], "frac_coords": [[0.500, 0.500, 0.500], [0.500, 0.500, 0.000], [0.000, 0.000, 0.277], [0.000, 0.000, 0.723]]}

{"formula": "VMo2", "functional": "SCAN", "state": "single point on PBEsol structure", "vol_a3_per_atom": 14.4, "delta_e_f_ev_per_atom": -0.139, "density_g_cm3": 9.31, "magnetic_moment_mub_per_atom": 0.00, "lattice": [[3.069, 0.000, 0.000], [0.000, 3.069, 0.000], [-1.534, -1.534, 4.599]], "species": ["Mo", "Mo", "V"], "frac_coords": [[0.165, 0.165, 0.331], [0.835, 0.835, 0.669], [0.500, 0.500, 0.000]]}

{"formula": "V2MoW", "functional": "SCAN", "state": "single point on PBEsol structure", "vol_a3_per_atom": 14.1, "delta_e_f_ev_per_atom": -0.122, "density_g_cm3": 11.27, "magnetic_moment_mub_per_atom": 0.00, "lattice": [[4.300, 0.000, 0.000], [2.150, 3.724, 0.000], [2.150, 1.241, 3.511]], "species": ["Mo", "W", "V", "V"], "frac_coords": [[0.500, 0.500, 0.500], [0.000, 0.000, 0.000], [0.250, 0.250, 0.250], [0.750, 0.750, 0.750]]}